No. 1
Here is a relaxed structure of LiHoAl4Pd2 from Alexandria via LeMat-Bulk. Energies are from PBE.

Computed properties:
crystal system	trigonal
E	-110.72	eV per cell

a = 4.2709 Å, b = 4.2709 Å, c = 25.8410 Å
α = 90.00°, β = 90.00°, γ = 120.00°
Space group R-3m (No. 166, hexagonal axes)
Inequivalent atoms, fractional coordinates:
Li: 0.0000 0.0000 0.0000 x3
Ho: 0.0000 0.0000 0.5000 x3
Al: 0.0000 0.0000 0.0981 x6
Al: 0.0000 0.0000 0.3697 x6
Pd: 0.0000 0.0000 0.2653 x6

***

No. 2
Here is a relaxed structure of HgO2F6 from Alexandria via LeMat-Bulk. Energies are from PBE.

Computed properties:
crystal system	triclinic
E	-25.26	eV per cell

a = 3.5676 Å, b = 6.5818 Å, c = 7.6128 Å
α = 66.13°, β = 86.48°, γ = 89.42°
Space group P-1 (No. 2)
Inequivalent atoms, fractional coordinates:
Hg: 0.0000 0.0000 0.0000 x1
O: 0.3222 0.3340 0.2774 x2
F: 0.1946 0.3336 0.4579 x2
F: 0.3251 0.1003 0.3112 x2
F: 0.3931 0.7658 0.1182 x2

***

No. 3
Here is a relaxed structure of CoBW4 from Alexandria via LeMat-Bulk. Energies are from PBE.

Computed properties:
crystal system	tetragonal
E	-258.68	eV per cell

a = 5.6880 Å, b = 5.6880 Å, c = 10.2300 Å
α = 90.00°, β = 90.00°, γ = 90.00°
Space group I4/mcm (No. 140)
Inequivalent atoms, fractional coordinates:
Co: 0.0000 0.0000 0.0000 x4
B: 0.0000 0.0000 0.2500 x4
W: 0.1671 0.3329 0.1356 x16

***

No. 4
Here is a relaxed structure of TbPrScSe3 from Alexandria via LeMat-Bulk. Energies are from PBE.

Computed properties:
crystal system	monoclinic
E	-71.39	eV per cell

a = 8.4498 Å, b = 4.0878 Å, c = 9.2883 Å
α = 90.00°, β = 104.07°, γ = 90.00°
Space group P2_1/m (No. 11)
Inequivalent atoms, fractional coordinates:
Tb: 0.1557 0.2500 0.1440 x2
Pr: 0.3200 0.7500 0.7807 x2
Sc: 0.3992 0.7500 0.4020 x2
Se: 0.0684 0.2500 0.8213 x2
Se: 0.2605 0.2500 0.5077 x2
Se: 0.3980 0.7500 0.1176 x2

***

No. 5
Here is a relaxed structure of BeAuCl2 from Alexandria via LeMat-Bulk. Energies are from PBE.

Computed properties:
crystal system	cubic
ΔE to the lowest computed polymorph	1198.3	meV/atom

a = 6.6034 Å, b = 6.6034 Å, c = 6.6034 Å
α = 90.00°, β = 90.00°, γ = 90.00°
Space group F-43m (No. 216)
Inequivalent atoms, fractional coordinates:
Be: 0.0000 0.0000 0.0000 x4
Au: 0.2500 0.2500 0.7500 x4
Cl: 0.0000 0.0000 0.5000 x4
Cl: 0.2500 0.2500 0.2500 x4

***

No. 6
Here is a relaxed structure of CaZrFe4 from Alexandria via LeMat-Bulk. Energies are from PBE.

Computed properties:
crystal system	cubic
E	-176.78	eV per cell

a = 7.1162 Å, b = 7.1162 Å, c = 7.1162 Å
α = 90.00°, β = 90.00°, γ = 90.00°
Space group F-43m (No. 216)
Inequivalent atoms, fractional coordinates:
Ca: 0.0000 0.0000 0.0000 x4
Zr: 0.2500 0.2500 0.2500 x4
Fe: 0.1249 0.1249 0.6249 x16